# PBE CePr12Dy7, optimized geometry
# Final energy ... -0.167 hartree per atom
# Total magnetization ... 0.07 Bohr magnetons per cell
# Energy of formation from the pure elements ... 0.229 eV per atom
# Calculated volume ... 2104 Å³ per cell
# ρ ... 7.03 g/cm³
# Energy above the lowest structure with this stoichiometry ... 78.0 meV per atom
data_CePr12Dy7
_cell_length_a 19.6883
_cell_length_b 19.6883
_cell_length_c 6.2665
_cell_angle_alpha 90.00
_cell_angle_beta 90.00
_cell_angle_gamma 120.00
_space_group_name_H-M_alt 'R -3'
_space_group_IT_number 148
_space_group_name_Hall '-R 3'
loop_
_atom_site_label
_atom_site_type_symbol
_atom_site_fract_x
_atom_site_fract_y
_atom_site_fract_z
_atom_site_occupancy
Ce1 Ce 0.0000 0.0000 0.0000 1
Pr1 Pr 0.0004 0.4118 0.5000 1
Pr2 Pr 0.0973 0.5490 0.9766 1
Dy1 Dy 0.0000 0.0000 0.5000 1
Dy2 Dy 0.0801 0.9188 0.8017 1


# PBE CeTl2Br4, optimized geometry
# Final energy ... -0.131 hartree per atom
# Total magnetization ... 3.89 Bohr magnetons per cell
# Calculated volume ... 583 Å³ per cell
# ρ ... 4.95 g/cm³
# E_form (uncorrected) ... -7.6 eV/f.u.
# Energy above the lowest structure with this stoichiometry ... 65.8 meV per atom
data_CeTl2Br4
_cell_length_a 5.904
_cell_length_b 5.904
_cell_length_c 16.720
_cell_angle_alpha 90.00
_cell_angle_beta 90.00
_cell_angle_gamma 90.00
_space_group_name_H-M_alt 'I 4/m m m'
_space_group_IT_number 139
_space_group_name_Hall '-I 4 2'
loop_
_atom_site_label
_atom_site_type_symbol
_atom_site_fract_x
_atom_site_fract_y
_atom_site_fract_z
_atom_site_occupancy
Ce1 Ce 0.000 0.000 0.000 1
Tl1 Tl 0.000 0.000 0.364 1
Br1 Br 0.000 0.000 0.175 1
Br2 Br 0.000 0.500 0.000 1


# PBE RbGaTe2, optimized geometry
# Final energy ... -0.119 hartree per atom
# Total magnetization ... 0.00 Bohr magnetons per cell
# Calculated volume ... 300 Å³ per cell
# ρ ... 4.55 g/cm³
# E_form (uncorrected) ... -2.7 eV/f.u.
data_RbGaTe2
_cell_length_a 7.128
_cell_length_b 7.300
_cell_length_c 7.461
_cell_angle_alpha 105.66
_cell_angle_beta 104.75
_cell_angle_gamma 116.83
_space_group_name_H-M_alt 'P 1'
_space_group_IT_number 1
_space_group_name_Hall 'P 1'
loop_
_atom_site_label
_atom_site_type_symbol
_atom_site_fract_x
_atom_site_fract_y
_atom_site_fract_z
_atom_site_occupancy
Rb1 Rb 0.000 0.000 0.000 1
Rb2 Rb 0.465 0.458 0.923 1
Ga1 Ga 0.497 0.812 0.463 1
Ga2 Ga 0.960 0.512 0.462 1
Te1 Te 0.067 0.567 0.150 1
Te2 Te 0.376 0.874 0.776 1
Te3 Te 0.575 0.478 0.462 1
Te4 Te 0.885 0.113 0.463 1


# PBE YHo3Cl, optimized geometry
# Final energy ... -0.178 hartree per atom
# Total magnetization ... 0.00 Bohr magnetons per cell
# Calculated volume ... 145 Å³ per cell
# ρ ... 7.09 g/cm³
# E_form (uncorrected) ... -2.2 eV/f.u.
data_YHo3Cl
_cell_length_a 5.255
_cell_length_b 5.255
_cell_length_c 5.255
_cell_angle_alpha 90.00
_cell_angle_beta 90.00
_cell_angle_gamma 90.00
_space_group_name_H-M_alt 'P m -3 m'
_space_group_IT_number 221
_space_group_name_Hall '-P 4 2 3'
loop_
_atom_site_label
_atom_site_type_symbol
_atom_site_fract_x
_atom_site_fract_y
_atom_site_fract_z
_atom_site_occupancy
Y1 Y 0.000 0.000 0.000 1
Ho1 Ho 0.000 0.500 0.500 1
Cl1 Cl 0.500 0.500 0.500 1


# PBE Tm3CoOs, optimized geometry
# Final energy ... -0.243 hartree per atom
# Total magnetization ... 0.00 Bohr magnetons per cell
# Energy of formation from the pure elements ... -0.262 eV per atom
# Calculated volume ... 215 Å³ per cell
# ρ ... 11.67 g/cm³
data_Tm3CoOs
_cell_length_a 4.274
_cell_length_b 8.486
_cell_length_c 5.931
_cell_angle_alpha 90.00
_cell_angle_beta 90.00
_cell_angle_gamma 90.00
_space_group_name_H-M_alt 'P m m n'
_space_group_IT_number 59
loop_
_space_group_symop_operation_xyz
'x,y,z'
'-x,-y,-z'
'-x+1/2,-y+1/2,z'
'x+1/2,y+1/2,-z'
'x+1/2,-y,-z'
'-x+1/2,y,z'
'-x,y+1/2,-z'
'x,-y+1/2,z'
loop_
_atom_site_label
_atom_site_type_symbol
_atom_site_fract_x
_atom_site_fract_y
_atom_site_fract_z
_atom_site_occupancy
Tm1 Tm 0.250 0.047 0.240 1
Tm2 Tm 0.250 0.250 0.741 1
Co1 Co 0.250 0.750 0.542 1
Os1 Os 0.250 0.750 0.943 1


# PBE ZrTi4Ge2, optimized geometry
# Final energy ... -0.274 hartree per atom
# Total magnetization ... 0.00 Bohr magnetons per cell
# Energy of formation from the pure elements ... -0.405 eV per atom
# Calculated volume ... 247 Å³ per cell
# ρ ... 5.76 g/cm³
# Energy above the lowest structure with this stoichiometry ... 14.6 meV per atom
data_ZrTi4Ge2
_cell_length_a 3.885
_cell_length_b 16.379
_cell_length_c 3.876
_cell_angle_alpha 90.00
_cell_angle_beta 90.00
_cell_angle_gamma 90.00
_space_group_name_H-M_alt 'C m m m'
_space_group_IT_number 65
_space_group_name_Hall '-C 2 2'
loop_
_atom_site_label
_atom_site_type_symbol
_atom_site_fract_x
_atom_site_fract_y
_atom_site_fract_z
_atom_site_occupancy
Zr1 Zr 0.000 0.000 0.000 1
Ti1 Ti 0.000 0.183 0.500 1
Ti2 Ti 0.000 0.316 0.000 1
Ge1 Ge 0.000 0.426 0.500 1


# PBE Fe3CuIr12, optimized geometry
# Final energy ... -0.311 hartree per atom
# Total magnetization ... 9.38 Bohr magnetons per cell
# Energy of formation from the pure elements ... 0.018 eV per atom
# Calculated volume ... 225 Å³ per cell
# ρ ... 18.77 g/cm³
data_Fe3CuIr12
_cell_length_a 3.828
_cell_length_b 3.828
_cell_length_c 15.319
_cell_angle_alpha 90.00
_cell_angle_beta 90.00
_cell_angle_gamma 90.00
_space_group_name_H-M_alt 'P 4/m m m'
_space_group_IT_number 123
_space_group_name_Hall '-P 4 2'
loop_
_atom_site_label
_atom_site_type_symbol
_atom_site_fract_x
_atom_site_fract_y
_atom_site_fract_z
_atom_site_occupancy
Fe1 Fe 0.000 0.000 0.000 1
Fe2 Fe 0.000 0.000 0.253 1
Cu1 Cu 0.000 0.000 0.500 1
Ir1 Ir 0.000 0.500 0.125 1
Ir2 Ir 0.000 0.500 0.373 1
Ir3 Ir 0.500 0.500 0.000 1
Ir4 Ir 0.500 0.500 0.249 1
Ir5 Ir 0.500 0.500 0.500 1


# PBE LiCdPb3, optimized geometry
# Final energy ... -0.105 hartree per atom
# Total magnetization ... 0.00 Bohr magnetons per cell
# Energy of formation from the pure elements ... -0.071 eV per atom
# Calculated volume ... 546 Å³ per cell
# ρ ... 9.01 g/cm³
# Energy above the lowest structure with this stoichiometry ... 1.6 meV per atom
data_LiCdPb3
_cell_length_a 17.118
_cell_length_b 4.823
_cell_length_c 6.665
_cell_angle_alpha 90.00
_cell_angle_beta 96.87
_cell_angle_gamma 90.00
_space_group_name_H-M_alt 'C 1 2/m 1'
_space_group_IT_number 12
_space_group_name_Hall '-C 2y'
loop_
_atom_site_label
_atom_site_type_symbol
_atom_site_fract_x
_atom_site_fract_y
_atom_site_fract_z
_atom_site_occupancy
Li1 Li 0.104 0.000 0.044 1
Cd1 Cd 0.196 0.500 0.326 1
Pb1 Pb 0.003 0.500 0.246 1
Pb2 Pb 0.106 0.000 0.538 1
Pb3 Pb 0.205 0.500 0.843 1


# PBE HfMn2S4, optimized geometry
# Final energy ... -0.270 hartree per atom
# Total magnetization ... 40.00 Bohr magnetons per cell
# Calculated volume ... 591 Å³ per cell
# ρ ... 4.68 g/cm³
# E_form (uncorrected) ... -6.7 eV/f.u.
data_HfMn2S4
_cell_length_a 7.492
_cell_length_b 7.492
_cell_length_c 10.526
_cell_angle_alpha 90.00
_cell_angle_beta 90.00
_cell_angle_gamma 90.00
_space_group_name_H-M_alt 'P 41 2 2'
_space_group_IT_number 91
_space_group_name_Hall 'P 4w 2c'
loop_
_atom_site_label
_atom_site_type_symbol
_atom_site_fract_x
_atom_site_fract_y
_atom_site_fract_z
_atom_site_occupancy
Hf1 Hf 0.000 0.262 0.000 1
Mn1 Mn 0.251 0.251 0.375 1
Mn2 Mn 0.251 0.500 0.750 1
S1 S 0.012 0.243 0.758 1
S2 S 0.248 0.485 0.995 1


# PBE Hf5ZnGa2, optimized geometry
# Final energy ... -0.269 hartree per atom
# Total magnetization ... 0.00 Bohr magnetons per cell
# Energy of formation from the pure elements ... -0.185 eV per atom
# Calculated volume ... 630 Å³ per cell
# ρ ... 11.58 g/cm³
data_Hf5ZnGa2
_cell_length_a 4.023
_cell_length_b 10.357
_cell_length_c 15.110
_cell_angle_alpha 90.00
_cell_angle_beta 90.00
_cell_angle_gamma 90.00
_space_group_name_H-M_alt 'C m c m'
_space_group_IT_number 63
_space_group_name_Hall '-C 2c 2'
loop_
_atom_site_label
_atom_site_type_symbol
_atom_site_fract_x
_atom_site_fract_y
_atom_site_fract_z
_atom_site_occupancy
Hf1 Hf 0.000 0.043 0.097 1
Hf2 Hf 0.000 0.348 0.038 1
Hf3 Hf 0.000 0.444 0.250 1
Zn1 Zn 0.000 0.174 0.250 1
Ga1 Ga 0.000 0.244 0.653 1


# PBE K2YRe, optimized geometry
# Final energy ... -0.159 hartree per atom
# Total magnetization ... 0.00 Bohr magnetons per cell
# Energy of formation from the pure elements ... 0.954 eV per atom
# Calculated volume ... 293 Å³ per cell
# ρ ... 4.01 g/cm³
# Energy above the lowest structure with this stoichiometry ... 172.0 meV per atom
data_K2YRe
_cell_length_a 9.603
_cell_length_b 3.079
_cell_length_c 9.912
_cell_angle_alpha 90.00
_cell_angle_beta 92.18
_cell_angle_gamma 90.00
_space_group_name_H-M_alt 'C 1 m 1'
_space_group_IT_number 8
_space_group_name_Hall 'C -2y'
loop_
_atom_site_label
_atom_site_type_symbol
_atom_site_fract_x
_atom_site_fract_y
_atom_site_fract_z
_atom_site_occupancy
K1 K 0.000 0.000 0.000 1
K2 K 0.236 0.000 0.614 1
Y1 Y 0.261 0.500 0.270 1
Re1 Re 0.491 0.000 0.357 1


# PBE K2CuTe, optimized geometry
# Final energy ... -0.091 hartree per atom
# Total magnetization ... 0.00 Bohr magnetons per cell
# Calculated volume ... 500 Å³ per cell
# ρ ... 3.58 g/cm³
# E_form (uncorrected) ... -0.5 eV/f.u.
data_K2CuTe
_cell_length_a 7.935
_cell_length_b 7.935
_cell_length_c 7.935
_cell_angle_alpha 90.00
_cell_angle_beta 90.00
_cell_angle_gamma 90.00
_space_group_name_H-M_alt 'F -4 3 m'
_space_group_IT_number 216
_space_group_name_Hall 'F -4 2 3'
loop_
_atom_site_label
_atom_site_type_symbol
_atom_site_fract_x
_atom_site_fract_y
_atom_site_fract_z
_atom_site_occupancy
K1 K 0.000 0.000 0.000 1
K2 K 0.250 0.250 0.250 1
Cu1 Cu 0.250 0.250 0.750 1
Te1 Te 0.000 0.000 0.500 1


calculated volume of number 10 (Hf5ZnGa2)? 630 Å³ per cell